[1]
Nd3Sm6Ho2Pb | PBE-GGA | optimized geometry

abc: 6.2472 6.2472 11.8390
angles: 95.13 95.13 120.13
Atoms (fractional coordinates):
Nd 0.0000 0.0000 0.0000
Nd 0.3306 0.6694 0.0000
Nd 0.6694 0.3306 0.0000
Sm 0.0930 0.4192 0.2566
Sm 0.2544 0.2544 0.7463
Sm 0.4192 0.0930 0.2566
Sm 0.5808 0.9070 0.7434
Sm 0.7456 0.7456 0.2537
Sm 0.9070 0.5808 0.7434
Ho 0.1652 0.8348 0.5000
Ho 0.8348 0.1652 0.5000
Pb 0.5000 0.5000 0.5000

Magnetization (μB per formula unit): 0.00
Symmetry: C2/m, No. 12
Energy (eV/cell): -56.004

[2]
LuZrCdHg | PBE-GGA | optimized geometry

abc: 5.0738 5.0738 5.0738
angles: 60.00 60.00 60.00
Atoms (fractional coordinates):
Lu 0.0000 0.0000 0.0000
Zr 0.5000 0.5000 0.5000
Cd 0.2500 0.2500 0.2500
Hg 0.7500 0.7500 0.7500

Magnetization (μB per formula unit): 0.73
Symmetry: F-43m, No. 216
Energy (eV/cell): -15.035

[3]
AlAsSe2 | PBE-GGA | optimized geometry

abc: 6.4163 6.4163 6.4163
angles: 147.83 139.02 53.03
Atoms (fractional coordinates):
Al 0.0000 0.0000 0.0000
As 0.8158 0.3158 0.5000
Se 0.1456 0.6456 0.5000
Se 0.4341 0.4341 0.0000

Magnetization (μB per formula unit): 0.00
Excess energy over the best structure of this formula in the dataset (meV per atom): 231
Symmetry: Imm2, No. 44
Energy relative to the elements, uncorrected (eV per formula unit): -0.3
Energy (eV/cell): -15.682

[4]
Li2CoSi | PBE-GGA | optimized geometry

abc: 3.8920 2.7225 4.3611
angles: 90.00 90.14 90.00
Atoms (fractional coordinates):
Li 0.0000 0.0000 0.0000
Li 0.5000 0.5000 0.0000
Co 0.0000 0.5000 0.5000
Si 0.5000 0.0000 0.5000

Magnetization (μB per formula unit): 0.00
Symmetry: P2/m, No. 10
Energy relative to the elements, uncorrected (eV per formula unit): -0.8
Energy (eV/cell): -17.184

[5]
PmHgB2O6 | PBE-GGA | optimized geometry

abc: 6.6076 6.6076 6.8716
angles: 101.93 101.93 107.64
Atoms (fractional coordinates):
Pm 0.0754 0.9246 0.7500
Pm 0.9246 0.0754 0.2500
Hg 0.3992 0.6008 0.2500
Hg 0.6008 0.3992 0.7500
B 0.0866 0.4022 0.7698
B 0.4022 0.0866 0.2698
B 0.5978 0.9134 0.7302
B 0.9134 0.5978 0.2302
O 0.0061 0.2108 0.6079
O 0.0064 0.4383 0.2211
O 0.2108 0.0061 0.1079
O 0.2718 0.4151 0.9193
O 0.4151 0.2718 0.4193
O 0.4383 0.0064 0.7211
O 0.5617 0.9936 0.2789
O 0.5849 0.7282 0.5807
O 0.7282 0.5849 0.0807
O 0.7892 0.9939 0.8921
O 0.9936 0.5617 0.7789
O 0.9939 0.7892 0.3921

Magnetization (μB per formula unit): 0.00
Symmetry: C2/c, No. 15
Energy relative to the elements, uncorrected (eV per formula unit): -20.8
Energy (eV/cell): -137.844

[6]
SmIn3Se6 | PBE-GGA | optimized geometry

abc: 11.4910 4.0987 11.9369
angles: 90.00 112.01 90.00
Atoms (fractional coordinates):
Sm 0.2050 0.2500 0.0519
Sm 0.7950 0.7500 0.9481
In 0.0232 0.7500 0.2943
In 0.3338 0.2500 0.4415
In 0.4020 0.7500 0.8310
In 0.5980 0.2500 0.1690
In 0.6662 0.7500 0.5585
In 0.9768 0.2500 0.7057
Se 0.0348 0.7500 0.8990
Se 0.1036 0.2500 0.4534
Se 0.2367 0.2500 0.8000
Se 0.2416 0.7500 0.2551
Se 0.4114 0.7500 0.0704
Se 0.4394 0.7500 0.6042
Se 0.5606 0.2500 0.3958
Se 0.5886 0.2500 0.9296
Se 0.7584 0.2500 0.7449
Se 0.7633 0.7500 0.2000
Se 0.8964 0.7500 0.5466
Se 0.9652 0.2500 0.1010

Magnetization (μB per formula unit): 0.00
Symmetry: P2_1/m, No. 11
Energy relative to the elements, uncorrected (eV per formula unit): -8.2
Energy (eV/cell): -84.093

[7]
Cs3KGe2O6 | PBE-GGA | optimized geometry

abc: 6.6358 6.6358 8.0931
angles: 90.00 90.00 120.00
Atoms (fractional coordinates):
Cs 0.0000 0.0000 0.0000
Cs 0.3333 0.6667 0.7281
Cs 0.6667 0.3333 0.2719
K 0.0000 0.0000 0.5000
Ge 0.3333 0.6667 0.2697
Ge 0.6667 0.3333 0.7303
O 0.1841 0.3683 0.2713
O 0.1841 0.8159 0.2713
O 0.3683 0.1841 0.7287
O 0.6317 0.8159 0.2713
O 0.8159 0.1841 0.7287
O 0.8159 0.6317 0.7287

Magnetization (μB per formula unit): 0.00
Symmetry: P-3m1, No. 164
Energy relative to the elements, uncorrected (eV per formula unit): -19.1
Energy (eV/cell): -61.733

[8]
SmIn9Rh2 | PBE-GGA | optimized geometry

abc: 9.4642 9.4642 9.4642
angles: 98.49 98.49 134.80
Atoms (fractional coordinates):
Sm 0.3750 0.6250 0.7500
Sm 0.6250 0.3750 0.2500
In 0.1053 0.5516 0.3136
In 0.1053 0.7917 0.5537
In 0.1250 0.8750 0.2500
In 0.2083 0.2620 0.3136
In 0.2083 0.8947 0.9463
In 0.2620 0.2083 0.8136
In 0.2620 0.4484 0.0537
In 0.4484 0.2620 0.5537
In 0.4484 0.8947 0.1864
In 0.5516 0.1053 0.8136
In 0.5516 0.7380 0.4463
In 0.7380 0.5516 0.9463
In 0.7380 0.7917 0.1864
In 0.7917 0.1053 0.0537
In 0.7917 0.7380 0.6864
In 0.8750 0.1250 0.7500
In 0.8947 0.2083 0.4463
In 0.8947 0.4484 0.6864
Rh 0.0000 0.0000 0.0000
Rh 0.0000 0.0000 0.5000
Rh 0.0000 0.5000 0.0000
Rh 0.5000 0.0000 0.5000

Magnetization (μB per formula unit): 0.00
Symmetry: I4_1/amd, No. 141
Energy (eV/cell): -91.672

Q: Look up the magnetization of the second one.
A: 0.73 μB per formula unit